# CeDyCu3 PBE optimized geometry
# SG	Cmcm
# formation energy from the elements	-175.1	meV/atom
# total magnetization	0.6	μB/f.u.
data_CeDyCu3
_chemical_formula_sum 'Ce2 Dy2 Cu6'
_symmetry_space_group_name_H-M 'P 1'
_symmetry_Int_Tables_number 1
_symmetry_space_group_name_Hall 'P 1'
_cell_length_a 3.509
_cell_length_b 4.346
_cell_length_c 13.225
_cell_angle_alpha 90.00
_cell_angle_beta 97.62
_cell_angle_gamma 90.00
loop_
_atom_site_label
_atom_site_type_symbol
_atom_site_fract_x
_atom_site_fract_y
_atom_site_fract_z
_atom_site_occupancy
Cu1 Cu 0.672 0.250 0.344 1
Cu2 Cu 0.477 0.250 0.953 1
Cu3 Cu 0.523 0.750 0.047 1
Cu4 Cu 0.381 0.250 0.763 1
Cu5 Cu 0.328 0.750 0.656 1
Cu6 Cu 0.619 0.750 0.237 1
Ce1 Ce 0.928 0.750 0.855 1
Ce2 Ce 0.072 0.250 0.145 1
Dy1 Dy 0.205 0.750 0.409 1
Dy2 Dy 0.795 0.250 0.591 1